1.
Below is a geometry-optimized Nb4Cu3Mo2C3 structure, with properties calculated at the PBE level.

POSCAR file:
```
Nb4Cu3Mo2C3
1.0
5.421 0.000 0.000
2.710 4.695 0.000
2.683 1.549 13.003
C Nb Cu Mo
6 8 6 4
direct
0.330 0.840 0.000
0.160 0.670 0.500
0.500 0.000 0.500
0.000 0.500 0.000
0.670 0.160 0.000
0.840 0.330 0.500
0.867 0.697 0.404
0.967 0.804 0.096
0.303 0.133 0.096
0.804 0.967 0.596
0.133 0.303 0.596
0.033 0.196 0.904
0.196 0.033 0.404
0.697 0.867 0.904
0.415 0.303 0.749
0.585 0.697 0.251
0.697 0.585 0.751
0.865 0.135 0.250
0.303 0.415 0.249
0.135 0.865 0.750
0.358 0.526 0.919
0.642 0.474 0.081
0.474 0.642 0.581
0.526 0.358 0.419
```

Results
The value obtained for the theoretical density is 7.93 g/cm3. For the total energy, the calculation gives -8.516 eV per atom.


2.
Below is a geometry-optimized TlCoAgTeS2 structure, with properties calculated at the PBE level.

POSCAR file:
```
TlCoAgTeS2
1.0
1.696 -7.859 0.000
1.696 7.859 0.000
0.000 0.000 10.179
Te S Ag Co Tl
2 4 2 2 2
direct
0.541 0.459 0.750
0.459 0.541 0.250
0.096 0.904 0.488
0.904 0.096 0.512
0.904 0.096 0.988
0.096 0.904 0.012
0.877 0.123 0.750
0.123 0.877 0.250
0.500 0.500 0.000
0.500 0.500 0.500
0.783 0.217 0.250
0.217 0.783 0.750
```

Results
The value obtained for the theoretical density is 6.89 g/cm3. For the total energy, the calculation gives -4.076 eV per atom.


3.
Below is a geometry-optimized ScGeMo2 structure, with properties calculated at the PBE level.

POSCAR file:
```
ScGeMo2
1.0
1.856 -3.132 -2.679
0.090 -4.326 1.307
-2.623 -3.042 -2.073
Ge Sc Mo
1 1 2
direct
0.500 0.500 0.500
0.250 0.250 0.250
0.000 0.000 0.000
0.750 0.750 0.750
```

Results
The value obtained for the theoretical density is 7.87 g/cm3. For the total energy, the calculation gives -8.312 eV per atom.


4.
Below is a geometry-optimized LuCuNiSb structure, with properties calculated at the PBE level.

POSCAR file:
```
LuCuNiSb
1.0
0.000 3.299 3.299
3.299 0.000 3.299
3.299 3.299 0.000
Ni Sb Lu Cu
1 1 1 1
direct
0.500 0.500 0.500
0.000 0.000 0.000
0.250 0.250 0.250
0.750 0.750 0.750
```

Results
The value obtained for the theoretical density is 9.69 g/cm3. For the total energy, the calculation gives -4.619 eV per atom.


5.
Below is a geometry-optimized Ba4Ge20Pt3 structure, with properties calculated at the PBE level.

POSCAR file:
```
Ba4Ge20Pt3
1.0
-8.236 6.574 -2.662
-1.310 -5.419 -9.330
-6.971 -6.749 4.899
Pt Ba Ge
6 8 40
direct
0.500 0.750 0.000
0.500 0.250 0.000
0.750 0.000 0.500
0.000 0.500 0.750
0.250 0.000 0.500
0.000 0.500 0.250
0.250 0.500 0.000
0.500 0.500 0.500
0.000 0.000 0.000
0.750 0.500 0.000
0.000 0.750 0.500
0.000 0.250 0.500
0.500 0.000 0.750
0.500 0.000 0.250
0.000 0.315 0.120
0.000 0.685 0.120
0.880 0.000 0.315
0.120 0.000 0.315
0.685 0.880 0.000
0.620 0.815 0.500
0.380 0.185 0.500
0.683 0.683 0.317
0.317 0.317 0.317
0.815 0.500 0.380
0.183 0.183 0.817
0.380 0.815 0.500
0.817 0.183 0.183
0.500 0.620 0.815
0.500 0.380 0.815
0.183 0.817 0.817
0.685 0.120 0.000
0.683 0.317 0.317
0.317 0.317 0.683
0.185 0.500 0.380
0.880 0.000 0.685
0.183 0.183 0.183
0.500 0.620 0.185
0.683 0.683 0.683
0.000 0.685 0.880
0.185 0.500 0.620
0.120 0.000 0.685
0.500 0.380 0.185
0.817 0.817 0.183
0.183 0.817 0.183
0.817 0.817 0.817
0.000 0.315 0.880
0.315 0.880 0.000
0.317 0.683 0.317
0.315 0.120 0.000
0.620 0.185 0.500
0.317 0.683 0.683
0.683 0.317 0.683
0.817 0.183 0.817
0.815 0.500 0.620
```

Results
The value obtained for the theoretical density is 6.69 g/cm3. For the total energy, the calculation gives -4.754 eV per atom.


6.
Below is a geometry-optimized LuMgIn structure, with properties calculated at the PBE level.

POSCAR file:
```
LuMgIn
1.0
0.000 3.546 3.546
3.546 0.000 3.546
3.546 3.546 0.000
Lu Mg In
1 1 1
direct
0.000 0.000 0.000
0.750 0.750 0.750
0.250 0.250 0.250
```

Results
The value obtained for the theoretical density is 5.85 g/cm3. For the total energy, the calculation gives -2.674 eV per atom.


7.
Below is a geometry-optimized ZrTcNO structure, with properties calculated at the PBE level.

POSCAR file:
```
ZrTcNO
1.0
4.453 0.000 0.000
0.000 4.453 0.000
0.000 0.000 4.500
N O Zr Tc
2 2 2 2
direct
0.750 0.750 0.432
0.250 0.250 0.568
0.250 0.750 0.000
0.750 0.250 0.000
0.750 0.250 0.500
0.250 0.750 0.500
0.250 0.250 0.071
0.750 0.750 0.929
```

Results
The value obtained for the theoretical density is 8.16 g/cm3. For the total energy, the calculation gives -9.020 eV per atom.


8.
Below is a geometry-optimized CsAcIr structure, with properties calculated at the PBE level.

POSCAR file:
```
CsAcIr
1.0
-2.239 -3.719 3.004
-5.064 0.452 1.424
-3.622 -3.236 -2.068
Cs Ac Ir
1 1 1
direct
0.250 0.250 0.250
0.750 0.750 0.750
0.000 0.000 0.000
```

Results
The value obtained for the theoretical density is 8.81 g/cm3. For the total energy, the calculation gives -4.314 eV per atom.


9.
Below is a geometry-optimized Bi2Pt structure, with properties calculated at the PBE level.

POSCAR file:
```
Bi2Pt
1.0
-5.836 -2.736 1.602
4.866 -3.774 -2.488
2.096 -1.096 5.761
Bi Pt
6 3
direct
0.667 0.333 0.783
0.000 0.000 0.654
0.000 0.611 0.274
0.611 0.000 0.274
0.333 0.667 0.783
0.389 0.389 0.274
0.263 0.000 0.000
0.737 0.737 0.000
0.000 0.263 0.000
```

Results
The value obtained for the theoretical density is 12.84 g/cm3. For the total energy, the calculation gives -4.947 eV per atom.


10.
Below is a geometry-optimized Sm2SbIrO6 structure, with properties calculated at the PBE level.

POSCAR file:
```
Sm2SbIrO6
1.0
-2.845 2.845 4.131
2.845 -2.845 4.131
2.845 2.845 -4.131
O Ir Sm Sb
6 1 2 1
direct
0.246 0.246 0.000
0.673 0.845 0.518
0.327 0.155 0.482
0.155 0.673 0.827
0.754 0.754 0.000
0.845 0.327 0.173
0.000 0.000 0.000
0.250 0.750 0.500
0.750 0.250 0.500
0.500 0.500 0.000
```

Results
The value obtained for the theoretical density is 8.82 g/cm3. For the total energy, the calculation gives -7.056 eV per atom.


11.
Below is a geometry-optimized LiBePd2 structure, with properties calculated at the PBE level.

POSCAR file:
```
LiBePd2
1.0
2.106 -3.647 0.000
2.106 3.647 0.000
0.000 0.000 7.195
Pd Be Li
4 2 2
direct
0.333 0.667 0.072
0.667 0.333 0.928
0.333 0.667 0.428
0.667 0.333 0.572
0.333 0.667 0.750
0.667 0.333 0.250
0.000 0.000 0.750
0.000 0.000 0.250
```

Results
The value obtained for the theoretical density is 6.87 g/cm3. For the total energy, the calculation gives -4.230 eV per atom.


12.
Below is a geometry-optimized DyHgGe structure, with properties calculated at the PBE level.

POSCAR file:
```
DyHgGe
1.0
0.137 1.179 4.612
-2.632 3.628 1.610
-3.768 -0.845 2.787
Ge Dy Hg
1 1 1
direct
0.000 0.000 0.000
0.250 0.250 0.250
0.750 0.750 0.750
```

Results
The value obtained for the theoretical density is 9.47 g/cm3. For the total energy, the calculation gives -3.494 eV per atom.